{
  "formula": "CaCS",
  "functional": "GGA-PBE",
  "state": "optimized geometry",
  "lattice_angstrom": [[5.7063, 0.0000, 0.0000], [0.0000, 4.3874, 0.0000], [-1.5774, 0.0000, 5.8570]],
  "species": ["S", "C", "S", "C", "Ca", "Ca"],
  "frac_coords": [[0.9685, 0.5000, 0.4401], [0.8926, 0.5000, 0.6883], [0.3774, 0.0000, 0.1723], [0.7972, 0.5000, 0.8533], [0.8456, 0.0000, 0.0854], [0.4544, 0.5000, 0.4308]],
  "n_ef_per_ev_cell": 0.00,
  "formation_energy_uncorrected_ev_per_fu": -2.08,
  "relative_energy_ev_per_fu": 0.42,
  "m_tot_mub_per_cell": 0.000,
  "crystal_system": "monoclinic"
}

{
  "formula": "Fe6Co",
  "functional": "GGA-PBE",
  "state": "optimized geometry",
  "lattice_angstrom": [[10.1868, -0.0006, 0.0000], [9.3938, 3.9405, 0.0000], [-9.7903, -1.9699, 2.0100]],
  "species": ["Fe", "Fe", "Fe", "Fe", "Co", "Fe", "Fe"],
  "frac_coords": [[0.7142, 0.7142, 0.0000], [0.1433, 0.1433, 0.0000], [0.2858, 0.2858, 0.0000], [0.5708, 0.5708, 0.0000], [0.0000, 0.0000, 0.0000], [0.4292, 0.4292, 0.0000], [0.8567, 0.8567, 0.0000]],
  "n_ef_per_ev_cell": 5.75,
  "relative_energy_ev_per_fu": 0.02,
  "m_tot_mub_per_cell": 16.287,
  "crystal_system": "tetragonal"
}

{
  "formula": "NaInGe3",
  "functional": "GGA-PBE",
  "state": "optimized geometry",
  "lattice_angstrom": [[5.1146, 0.0000, 0.0000], [0.0000, 5.1146, 0.0000], [0.0000, 0.0000, 5.1146]],
  "species": ["Ge", "In", "Ge", "Na", "Ge"],
  "frac_coords": [[0.0000, 0.5000, 0.0000], [0.5000, 0.5000, 0.5000], [0.0000, 0.0000, 0.5000], [0.0000, 0.0000, 0.0000], [0.5000, 0.0000, 0.0000]],
  "n_ef_per_ev_cell": 2.70,
  "relative_energy_ev_per_fu": 1.15,
  "m_tot_mub_per_cell": 0.000,
  "crystal_system": "cubic"
}

Question: Which formula does entry 3 have?
Answer: NaInGe3